No. 1
The following is a DFT calculation (PBE) of an optimized crystal structure of In2GePN.

Geometry as POSCAR:
```
In2GePN
1.0
5.540 0.000 0.000
0.000 5.540 0.000
0.000 0.000 3.347
In Ge P N
2 1 1 1
Cartesian
0.000 2.770 0.000 In
2.770 0.000 0.000 In
0.000 0.000 1.673 Ge
2.770 2.770 0.000 P
2.770 2.770 1.673 N
```

Calculated values
ΔE_f (raw) in eV/atom: 0.43
Energy above the most stable polymorph in this dataset in meV per atom: 0

No. 2
The following is a DFT calculation (PBE) of an optimized crystal structure of MgTiBi3.

Geometry as POSCAR:
```
MgTiBi3
1.0
5.429 0.000 0.000
0.000 5.429 0.000
0.000 0.000 5.429
Mg Ti Bi
1 1 3
Cartesian
0.000 0.000 0.000 Mg
2.715 2.715 2.715 Ti
0.000 2.715 2.715 Bi
2.715 0.000 2.715 Bi
2.715 2.715 0.000 Bi
```

Calculated values
Formation energy from the elements in eV per atom: 0.22
Energy above the most stable polymorph in this dataset in meV per atom: 0

No. 3
The following is a DFT calculation (PBE) of an optimized crystal structure of Ac2PuI8.

Geometry as POSCAR:
```
Ac2PuI8
1.0
8.189 -5.988 0.000
8.189 5.988 0.000
-0.225 0.000 6.728
Ac Pu I
2 1 8
Cartesian
3.507 0.000 1.370 Ac
12.645 0.000 5.358 Ac
-0.113 0.000 3.364 Pu
6.615 3.661 5.052 I
2.894 0.000 4.796 I
9.537 3.661 1.676 I
6.553 0.000 1.689 I
9.600 0.000 5.038 I
6.615 -3.661 5.052 I
13.258 0.000 1.932 I
9.537 -3.661 1.676 I
```

Calculated values
ΔE_f (raw) in eV/atom: -1.21

No. 4
The following is a DFT calculation (PBE) of an optimized crystal structure of P2PdC.

Geometry as POSCAR:
```
P2PdC
1.0
-2.582 2.582 4.205
2.582 -2.582 4.205
2.582 2.582 -4.205
P Pd C
4 2 2
Cartesian
3.873 0.949 -1.051 P
0.949 1.291 1.051 P
-1.291 1.633 3.154 P
1.633 1.291 5.257 P
2.582 0.000 2.103 Pd
0.000 0.000 4.205 Pd
0.000 0.000 0.000 C
0.000 2.582 2.103 C
```

Calculated values
Formation energy from the elements in eV per atom: 0.22

No. 5
The following is a DFT calculation (PBE) of an optimized crystal structure of CaCo2Rh2.

Geometry as POSCAR:
```
CaCo2Rh2
1.0
7.443 0.000 0.000
0.000 7.443 0.000
0.000 0.000 2.741
Ca Co Rh
2 4 4
Cartesian
0.000 0.000 0.000 Ca
3.721 3.721 0.000 Ca
1.250 2.471 1.371 Co
2.471 6.193 1.371 Co
4.971 1.250 1.371 Co
6.193 4.971 1.371 Co
0.951 4.672 0.000 Rh
2.771 0.951 0.000 Rh
4.672 6.492 0.000 Rh
6.492 2.771 0.000 Rh
```

Calculated values
Formation energy from the elements in eV per atom: 0.07
Energy above the most stable polymorph in this dataset in meV per atom: 68

No. 6
The following is a DFT calculation (PBE) of an optimized crystal structure of Sc2Ag2I.

Geometry as POSCAR:
```
Sc2Ag2I
1.0
8.032 0.000 0.000
0.000 8.032 0.000
0.000 0.000 3.596
Sc Ag I
4 4 2
Cartesian
1.282 2.734 0.000 Sc
2.734 6.750 0.000 Sc
5.298 1.282 0.000 Sc
6.750 5.298 0.000 Sc
1.025 5.041 1.798 Ag
2.991 1.025 1.798 Ag
5.041 7.007 1.798 Ag
7.007 2.991 1.798 Ag
0.000 0.000 1.798 I
4.016 4.016 1.798 I
```

Calculated values
ΔE_f (raw) in eV/atom: -0.12
Energy above the most stable polymorph in this dataset in meV per atom: 78

No. 7
The following is a DFT calculation (PBE) of an optimized crystal structure of Ba3IrCl2.

Geometry as POSCAR:
```
Ba3IrCl2
1.0
3.961 -6.854 0.000
3.961 6.854 0.000
-2.637 0.000 7.841
Ba Ir Cl
6 2 4
Cartesian
-0.091 2.457 6.092 Ba
1.126 0.000 1.743 Ba
-0.091 -2.457 6.092 Ba
5.376 2.457 1.749 Ba
4.159 0.000 6.098 Ba
5.376 -2.457 1.749 Ba
3.961 4.563 0.000 Ir
3.961 -4.563 0.000 Ir
-1.319 0.000 3.920 Cl
2.643 2.201 3.920 Cl
3.961 0.000 0.000 Cl
2.643 -2.201 3.920 Cl
```

Calculated values
ΔE_f (raw) in eV/atom: -1.32

Number 1: size of the total moment 0.00 μB per cell, E_tot -21.7 eV for the cell shown. Number 2: size of the total moment 0.00 μB per cell, E_tot -20.1 eV for the cell shown. Number 3: size of the total moment 6.00 μB per cell, E_tot -48.3 eV for the cell shown. Number 4: size of the total moment 0.00 μB per cell, E_tot -48.7 eV for the cell shown. Number 5: size of the total moment 8.12 μB per cell, E_tot -61.2 eV for the cell shown. Number 6: size of the total moment 0.00 μB per cell, E_tot -41.1 eV for the cell shown. Number 7: size of the total moment 0.01 μB per cell, E_tot -52.5 eV for the cell shown.